Density functional theory data (GGA-PBE) for a geometry-optimized Hf2Os2Rh structure.

Cell: 6.718 6.718 3.979 Å, 90.00 90.00 90.00°
Element x y z (fractional)
Os  0.128  0.372  0.000
Os  0.372  0.872  0.000
Os  0.872  0.628  0.000
Os  0.628  0.128  0.000
Hf  0.679  0.821  0.500
Hf  0.321  0.179  0.500
Hf  0.179  0.679  0.500
Hf  0.821  0.321  0.500
Rh  0.000  0.000  0.000
Rh  0.500  0.500  0.000

Computed properties:
**Energy of formation from the pure elements**: -0.26 eV per atom
**DFT total energy**: -10.200 eV per atom
**Fermi-level density of states**: 10.62 states/eV/cell

---

Density functional theory data (GGA-PBE) for a geometry-optimized Rb2In3Sn4Hg structure.

Cell: 5.205 5.205 12.102 Å, 90.00 90.00 90.00°
Element x y z (fractional)
Hg  0.500  0.500  0.500
In  0.000  0.500  0.131
In  0.000  0.000  0.500
In  0.500  0.000  0.869
Sn  0.500  0.500  0.000
Sn  0.500  0.000  0.628
Sn  0.000  0.000  0.000
Sn  0.000  0.500  0.372
Rb  0.000  0.500  0.746
Rb  0.500  0.000  0.254

Computed properties:
**Energy of formation from the pure elements**: -0.15 eV per atom
**DFT total energy**: -2.799 eV per atom
**Fermi-level density of states**: 4.06 states/eV/cell

---

Density functional theory data (GGA-PBE) for a geometry-optimized Re3SiRu structure.

Cell: 4.349 4.349 4.349 Å, 90.00 90.00 90.00°
Element x y z (fractional)
Re  0.000  0.500  0.000
Re  0.000  0.000  0.500
Re  0.500  0.000  0.000
Si  0.000  0.000  0.000
Ru  0.500  0.500  0.500

Computed properties:
**DFT total energy**: -9.064 eV per atom
**Fermi-level density of states**: 6.19 states/eV/cell
**Excess energy over the best structure of this formula in the dataset**: 0.000 eV/atom

---

Density functional theory data (GGA-PBE) for a geometry-optimized HfTe2I structure.

Cell: 7.688 7.688 8.053 Å, 61.49 61.49 90.00°
Element x y z (fractional)
Te  0.875  0.961  0.750
Te  0.375  0.289  0.750
Te  0.711  0.125  0.250
Te  0.039  0.625  0.250
I  0.250  0.750  0.500
I  0.500  0.500  0.000
Hf  0.000  0.000  0.000
Hf  0.750  0.250  0.500

Computed properties:
**DFT total energy**: -4.564 eV per atom
**Fermi-level density of states**: 13.60 states/eV/cell
**Excess energy over the best structure of this formula in the dataset**: 0.370 eV/atom

---

Density functional theory data (GGA-PBE) for a geometry-optimized DyAgBr structure.

Cell: 3.954 4.949 11.379 Å, 90.00 79.99 66.45°
Element x y z (fractional)
Dy  0.654  0.356  0.337
Dy  0.346  0.644  0.663
Br  0.737  0.682  0.843
Br  0.263  0.318  0.157
Ag  0.131  0.207  0.531
Ag  0.869  0.793  0.469

Computed properties:
**DFT total energy**: -3.895 eV per atom
**Fermi-level density of states**: 1.49 states/eV/cell

---

Density functional theory data (GGA-PBE) for a geometry-optimized HoTlF structure.

Cell: 6.787 8.089 6.787 Å, 74.49 68.74 105.51°
Element x y z (fractional)
Tl  0.201  0.804  0.939
Tl  0.311  0.304  0.049
Tl  0.647  0.696  0.993
Tl  0.257  0.196  0.603
F  0.173  0.653  0.493
F  0.757  0.153  0.077
F  0.853  0.347  0.481
F  0.769  0.847  0.397
Ho  0.065  0.880  0.447
Ho  0.673  0.120  0.815
Ho  0.435  0.620  0.577
Ho  0.803  0.380  0.185

Computed properties:
**DFT total energy**: -4.627 eV per atom
**Fermi-level density of states**: 6.48 states/eV/cell

---

Density functional theory data (GGA-PBE) for a geometry-optimized Pa5GeP4 structure.

Cell: 5.664 6.933 6.933 Å, 80.40 65.89 65.89°
Element x y z (fractional)
P  0.604  0.598  0.196
P  0.800  0.804  0.598
P  0.202  0.196  0.402
P  0.398  0.402  0.804
Ge  0.001  0.000  0.000
Pa  0.695  0.204  0.408
Pa  0.501  0.000  0.000
Pa  0.103  0.592  0.204
Pa  0.307  0.796  0.592
Pa  0.899  0.408  0.796

Computed properties:
**Energy of formation from the pure elements**: -1.14 eV per atom
**DFT total energy**: -8.517 eV per atom
**Fermi-level density of states**: 10.61 states/eV/cell

---

Density functional theory data (GGA-PBE) for a geometry-optimized Hg2IrOs structure.

Cell: 4.634 4.634 4.634 Å, 60.00 60.00 60.00°
Site moments in Bohr magnetons follow the coordinates.
Element x y z (fractional)
Ir  0.500  0.500  0.500  0.10
Os  0.750  0.750  0.750  0.20
Hg  0.250  0.250  0.250  0.00
Hg  0.000  0.000  0.000  0.00

Computed properties:
**Energy of formation from the pure elements**: 0.98 eV per atom
**DFT total energy**: -4.196 eV per atom
**Fermi-level density of states**: 5.29 states/eV/cell
**Excess energy over the best structure of this formula in the dataset**: 0.556 eV/atom

---

Density functional theory data (GGA-PBE) for a geometry-optimized Tl2Au2Se5 structure.

Cell: 5.557 8.108 6.245 Å, 110.66 90.00 110.04°
Element x y z (fractional)
Se  0.121  0.242  0.448
Se  0.879  0.758  0.552
Se  0.000  0.000  0.000
Se  0.664  0.327  0.936
Se  0.336  0.673  0.064
Tl  0.341  0.683  0.589
Tl  0.659  0.317  0.411
Au  0.843  0.685  0.075
Au  0.157  0.315  0.925

Computed properties:
**DFT total energy**: -3.210 eV per atom
**Fermi-level density of states**: 5.16 states/eV/cell

---

Density functional theory data (GGA-PBE) for a geometry-optimized VRuPb2 structure.

Cell: 4.796 4.796 4.796 Å, 60.00 60.00 60.00°
Site moments in Bohr magnetons follow the coordinates.
Element x y z (fractional)
Ru  0.500  0.500  0.500  0.11
V  0.000  0.000  0.000  2.39
Pb  0.750  0.750  0.750  -0.01
Pb  0.250  0.250  0.250  -0.01

Computed properties:
**Energy of formation from the pure elements**: 0.48 eV per atom
**DFT total energy**: -5.973 eV per atom
**Fermi-level density of states**: 2.15 states/eV/cell
**Excess energy over the best structure of this formula in the dataset**: 0.000 eV/atom

---

Density functional theory data (GGA-PBE) for a geometry-optimized MnPdRu2 structure.

Cell: 6.832 6.832 5.469 Å, 51.35 51.35 90.00°
Element x y z (fractional)
Mn  0.250  0.750  0.500
Mn  0.500  0.500  0.000
Pd  0.750  0.250  0.500
Pd  0.000  0.000  0.000
Ru  0.569  0.125  0.250
Ru  0.181  0.625  0.250
Ru  0.875  0.819  0.750
Ru  0.375  0.431  0.750

Computed properties:
**Energy of formation from the pure elements**: 0.54 eV per atom
**DFT total energy**: -7.690 eV per atom
**Fermi-level density of states**: 9.12 states/eV/cell

---

Density functional theory data (GGA-PBE) for a geometry-optimized Sm5Tm6Th2 structure.

Cell: 3.555 11.460 20.756 Å, 90.00 90.00 90.00°
Element x y z (fractional)
Sm  0.500  0.000  0.500
Sm  0.500  0.566  0.294
Sm  0.500  0.934  0.794
Sm  0.500  0.500  0.000
Sm  0.500  0.808  0.077
Sm  0.500  0.066  0.206
Sm  0.500  0.434  0.706
Sm  0.500  0.192  0.923
Sm  0.500  0.308  0.423
Sm  0.500  0.692  0.577
Tm  0.000  0.420  0.563
Tm  0.000  0.920  0.937
Tm  0.000  0.438  0.852
Tm  0.500  0.687  0.877
Tm  0.000  0.562  0.148
Tm  0.000  0.062  0.352
Tm  0.000  0.938  0.648
Tm  0.000  0.080  0.063
Tm  0.500  0.313  0.123
Tm  0.500  0.187  0.623
Tm  0.000  0.580  0.437
Tm  0.500  0.813  0.377
Th  0.000  0.812  0.236
Th  0.000  0.312  0.264
Th  0.000  0.688  0.736
Th  0.000  0.188  0.764

Computed properties:
**Energy of formation from the pure elements**: 0.11 eV per atom
**DFT total energy**: -4.912 eV per atom
**Fermi-level density of states**: 36.29 states/eV/cell

---

Density functional theory data (GGA-PBE) for a geometry-optimized Zn2InOsCl structure.

Cell: 5.135 5.303 5.135 Å, 90.00 90.00 90.00°
Site moments in Bohr magnetons follow the coordinates.
Element x y z (fractional)
Os  0.500  0.500  0.500  3.16
In  0.000  0.000  0.000  0.07
Zn  0.500  0.000  0.000  0.02
Zn  0.000  0.000  0.500  0.03
Cl  0.000  0.500  0.000  0.07

Computed properties:
**DFT total energy**: -2.266 eV per atom
**Fermi-level density of states**: 4.05 states/eV/cell

---

Density functional theory data (GGA-PBE) for a geometry-optimized Pr4BiTe2Se structure.

Cell: 4.472 7.833 7.801 Å, 70.88 90.00 90.00°
Element x y z (fractional)
Pr  0.000  0.261  0.262
Pr  0.500  0.729  0.272
Pr  0.000  0.739  0.738
Pr  0.500  0.271  0.728
Se  0.000  0.500  0.500
Te  0.000  0.000  0.000
Te  0.500  0.000  0.500
Bi  0.500  0.500  0.000

Computed properties:
**DFT total energy**: -5.514 eV per atom
**Fermi-level density of states**: 4.09 states/eV/cell

---

Density functional theory data (GGA-PBE) for a geometry-optimized KFe2S structure.

Cell: 4.861 4.861 8.225 Å, 72.81 72.81 90.00°
Site moments in Bohr magnetons follow the coordinates.
Element x y z (fractional)
S  0.500  0.500  0.000  0.00
S  0.250  0.750  0.500  0.00
Fe  0.375  0.625  0.750  2.22
Fe  0.875  0.625  0.750  2.26
Fe  0.375  0.625  0.250  2.34
Fe  0.375  0.125  0.250  2.30
K  0.000  0.000  0.000  -0.01
K  0.750  0.250  0.500  -0.01

Computed properties:
**DFT total energy**: -5.302 eV per atom
**Fermi-level density of states**: 7.12 states/eV/cell

---

Density functional theory data (GGA-PBE) for a geometry-optimized SrTc2S2 structure.

Cell: 4.069 4.069 6.414 Å, 71.51 71.51 90.00°
Element x y z (fractional)
S  0.352  0.352  0.295
S  0.648  0.648  0.705
Tc  0.750  0.250  0.500
Tc  0.250  0.750  0.500
Sr  0.000  0.000  0.000

Computed properties:
**DFT total energy**: -6.830 eV per atom
**Fermi-level density of states**: 2.65 states/eV/cell
**Excess energy over the best structure of this formula in the dataset**: 0.000 eV/atom

---

Density functional theory data (GGA-PBE) for a geometry-optimized AcY6Ho4 structure.

Cell: 5.762 5.709 25.755 Å, 90.00 90.00 120.31°
Element x y z (fractional)
Y  0.176  0.351  0.901
Y  0.843  0.686  0.679
Y  0.843  0.686  0.821
Y  0.157  0.314  0.321
Y  0.824  0.649  0.401
Y  0.510  0.019  0.750
Y  0.824  0.649  0.099
Y  0.157  0.314  0.179
Y  0.500  0.000  0.500
Y  0.500  0.000  0.000
Y  0.176  0.351  0.599
Y  0.490  0.981  0.250
Ho  0.837  0.673  0.959
Ho  0.488  0.977  0.121
Ho  0.512  0.023  0.879
Ho  0.512  0.023  0.621
Ho  0.163  0.327  0.459
Ho  0.488  0.977  0.379
Ho  0.837  0.673  0.541
Ho  0.163  0.327  0.041
Ac  0.825  0.650  0.250
Ac  0.175  0.350  0.750

Computed properties:
**Energy of formation from the pure elements**: 0.13 eV per atom
**DFT total energy**: -5.431 eV per atom
**Fermi-level density of states**: 39.69 states/eV/cell

---

Density functional theory data (GGA-PBE) for a geometry-optimized Li2Ce3In3 structure.

Cell: 4.837 4.812 9.149 Å, 105.25 108.45 90.00°
Site moments in Bohr magnetons follow the coordinates.
Element x y z (fractional)
Ce  0.607  0.134  0.267  0.87
Ce  0.000  0.000  0.000  0.96
Ce  0.393  0.866  0.733  0.87
Li  0.759  0.755  0.509  0.00
Li  0.241  0.245  0.491  0.00
In  0.500  0.500  0.000  -0.01
In  0.864  0.349  0.697  -0.02
In  0.136  0.651  0.303  -0.02

Computed properties:
**Energy of formation from the pure elements**: -0.27 eV per atom
**DFT total energy**: -4.000 eV per atom
**Fermi-level density of states**: 17.65 states/eV/cell
**Excess energy over the best structure of this formula in the dataset**: 0.000 eV/atom

---

Density functional theory data (GGA-PBE) for a geometry-optimized Re2TeMo structure.

Cell: 4.550 4.550 4.550 Å, 60.00 60.00 60.00°
Element x y z (fractional)
Mo  0.500  0.500  0.500
Te  0.750  0.750  0.750
Re  0.250  0.250  0.250
Re  0.000  0.000  0.000

Computed properties:
**DFT total energy**: -9.043 eV per atom
**Fermi-level density of states**: 5.12 states/eV/cell

---

Density functional theory data (GGA-PBE) for a geometry-optimized CaTlPd3 structure.

Cell: 4.915 4.915 4.915 Å, 94.95 94.95 94.95°
Element x y z (fractional)
Tl  0.724  0.724  0.724
Ca  0.115  0.115  0.115
Pd  0.302  0.302  0.681
Pd  0.681  0.302  0.302
Pd  0.302  0.681  0.302

Computed properties:
**Energy of formation from the pure elements**: 0.11 eV per atom
**DFT total energy**: -3.878 eV per atom
**Fermi-level density of states**: 2.71 states/eV/cell
**Excess energy over the best structure of this formula in the dataset**: 0.521 eV/atom